1.
7
Lattice="-2.928 2.928 5.484 2.928 -2.928 5.484 2.928 2.928 -5.484" Properties=species:S:1:pos:R:3 comment="AlGaHgSe4 (GGA-PBE, relaxed)" de_polymorph_ev_per_atom=0.000 sg="I-4, No. 82" total_energy_ry_per_atom=-0.265 pbc="T T T"
Se -1.551 1.601 3.945
Se 1.327 1.377 1.539
Se 4.479 1.327 -1.539
Se 1.601 1.551 7.023
Hg 0.000 0.000 5.484
Al 2.928 0.000 2.742
Ga 0.000 0.000 0.000

=====

2.
7
Lattice="5.946 0.000 0.000 -0.151 6.044 0.000 -2.832 -2.885 5.572" Properties=species:S:1:pos:R:3 comment="AlGaHgTeSe3 (GGA-PBE, relaxed)" sg="P1, No. 1" total_energy_ry_per_atom=-0.256 pbc="T T T"
Se -1.399 1.479 4.083
Se 4.254 4.422 1.563
Se 1.549 1.658 1.566
Al -0.089 3.019 2.735
Ga 2.870 3.067 0.038
Hg -2.960 3.150 5.571
Te 1.573 -1.205 3.947

=====

3.
8
Lattice="3.234 0.000 0.000 -1.617 2.801 0.000 0.000 0.000 18.537" Properties=species:S:1:pos:R:3 comment="HoAl2Ga (GGA-PBE, relaxed)" sg="P6_3/mmc, No. 194" total_energy_ry_per_atom=-0.278 pbc="T T T"
Al 1.617 0.934 2.084
Al 0.000 1.867 16.452
Al 1.617 0.934 7.184
Al 0.000 1.867 11.352
Ga 0.000 0.000 0.000
Ga 0.000 0.000 9.268
Ho 1.617 0.934 13.902
Ho 0.000 1.867 4.634